{"formula": "MgNi2S", "functional": "meta-GGA SCAN", "state": "single point on PBEsol structure", "e_tot_ev_per_fu": -46.58, "raw_formation_energy_ev_per_atom": 0.092, "total_magnetization_mub_per_cell": 0.00, "sg": "No. 225", "lattice_angstrom": [[5.773, 0.000, 0.000], [0.000, 5.773, 0.000], [0.000, 0.000, 5.773]], "species": ["Mg", "Mg", "Mg", "Mg", "Ni", "Ni", "Ni", "Ni", "Ni", "Ni", "Ni", "Ni", "S", "S", "S", "S"], "fractional_positions": [[0.000, 0.000, 0.000], [0.000, 0.500, 0.500], [0.500, 0.000, 0.500], [0.500, 0.500, 0.000], [0.250, 0.250, 0.250], [0.250, 0.250, 0.750], [0.250, 0.750, 0.250], [0.250, 0.750, 0.750], [0.750, 0.250, 0.250], [0.750, 0.250, 0.750], [0.750, 0.750, 0.250], [0.750, 0.750, 0.750], [0.000, 0.000, 0.500], [0.000, 0.500, 0.000], [0.500, 0.000, 0.000], [0.500, 0.500, 0.500]]}

{"formula": "La2InW", "functional": "meta-GGA SCAN", "state": "single point on PBEsol structure", "e_tot_ev_per_fu": -187.76, "delta_e_f_ev_per_atom": 0.381, "total_magnetization_mub_per_cell": 0.00, "sg": "No. 99", "lattice_angstrom": [[3.670, 0.000, 0.000], [0.000, 3.670, 0.000], [0.000, 0.000, 7.078]], "species": ["La", "La", "In", "W"], "fractional_positions": [[0.000, 0.000, 0.000], [0.500, 0.500, 0.293], [0.500, 0.500, 0.729], [0.000, 0.000, 0.550]]}

{"formula": "La3Tl", "functional": "meta-GGA SCAN", "state": "single point on PBEsol structure", "e_tot_ev_per_fu": -202.96, "polymorph_energy_ev_per_atom": 0.063, "delta_e_f_ev_per_atom": -0.323, "total_magnetization_mub_per_cell": 0.00, "sg": "No. 62", "lattice_angstrom": [[6.455, 0.000, 0.000], [0.000, 11.284, 0.000], [0.000, 0.000, 6.888]], "species": ["La", "La", "La", "La", "La", "La", "La", "La", "La", "La", "La", "La", "Tl", "Tl", "Tl", "Tl"], "fractional_positions": [[0.050, 0.250, 0.132], [0.221, 0.531, 0.393], [0.221, 0.969, 0.393], [0.279, 0.031, 0.893], [0.279, 0.469, 0.893], [0.450, 0.750, 0.632], [0.550, 0.250, 0.368], [0.721, 0.531, 0.107], [0.721, 0.969, 0.107], [0.779, 0.031, 0.607], [0.779, 0.469, 0.607], [0.950, 0.750, 0.868], [0.107, 0.250, 0.616], [0.393, 0.750, 0.116], [0.607, 0.250, 0.884], [0.893, 0.750, 0.384]]}

{"formula": "Ga2Ag2Pb", "functional": "meta-GGA SCAN", "state": "single point on PBEsol structure", "e_tot_ev_per_fu": -170.49, "polymorph_energy_ev_per_atom": 0.050, "delta_e_f_ev_per_atom": 0.144, "total_magnetization_mub_per_cell": 0.00, "sg": "No. 127", "lattice_angstrom": [[7.919, 0.000, 0.000], [0.000, 7.919, 0.000], [0.000, 0.000, 3.108]], "species": ["Ga", "Ga", "Ga", "Ga", "Ag", "Ag", "Ag", "Ag", "Pb", "Pb"], "fractional_positions": [[0.170, 0.330, 0.000], [0.330, 0.830, 0.000], [0.670, 0.170, 0.000], [0.830, 0.670, 0.000], [0.127, 0.627, 0.500], [0.373, 0.127, 0.500], [0.627, 0.873, 0.500], [0.873, 0.373, 0.500], [0.000, 0.000, 0.500], [0.500, 0.500, 0.500]]}

{"formula": "Y2GaRu2", "functional": "meta-GGA SCAN", "state": "single point on PBEsol structure", "e_tot_ev_per_fu": -144.31, "delta_e_f_ev_per_atom": -0.525, "total_magnetization_mub_per_cell": 0.00, "sg": "No. 127", "lattice_angstrom": [[6.712, 0.000, 0.000], [0.000, 6.712, 0.000], [0.000, 0.000, 4.233]], "species": ["Y", "Y", "Y", "Y", "Ga", "Ga", "Ru", "Ru", "Ru", "Ru"], "fractional_positions": [[0.176, 0.324, 0.000], [0.324, 0.824, 0.000], [0.676, 0.176, 0.000], [0.824, 0.676, 0.000], [0.000, 0.000, 0.500], [0.500, 0.500, 0.500], [0.136, 0.636, 0.500], [0.364, 0.136, 0.500], [0.636, 0.864, 0.500], [0.864, 0.364, 0.500]]}

{"formula": "MgCuPb", "functional": "meta-GGA SCAN", "state": "single point on PBEsol structure", "e_tot_ev_per_fu": -95.13, "delta_e_f_ev_per_atom": 0.275, "total_magnetization_mub_per_cell": 0.00, "sg": "No. 216", "lattice_angstrom": [[6.424, 0.000, 0.000], [0.000, 6.424, 0.000], [0.000, 0.000, 6.424]], "species": ["Mg", "Mg", "Mg", "Mg", "Cu", "Cu", "Cu", "Cu", "Pb", "Pb", "Pb", "Pb"], "fractional_positions": [[0.000, 0.000, 0.000], [0.000, 0.500, 0.500], [0.500, 0.000, 0.500], [0.500, 0.500, 0.000], [0.250, 0.250, 0.250], [0.250, 0.750, 0.750], [0.750, 0.250, 0.750], [0.750, 0.750, 0.250], [0.250, 0.250, 0.750], [0.250, 0.750, 0.250], [0.750, 0.250, 0.250], [0.750, 0.750, 0.750]]}

What did the fourth record say?
{"formula": "Ga2Ag2Pb", "functional": "meta-GGA SCAN", "state": "single point on PBEsol structure", "e_tot_ev_per_fu": -170.49, "polymorph_energy_ev_per_atom": 0.050, "delta_e_f_ev_per_atom": 0.144, "total_magnetization_mub_per_cell": 0.00, "sg": "No. 127", "lattice_angstrom": [[7.919, 0.000, 0.000], [0.000, 7.919, 0.000], [0.000, 0.000, 3.108]], "species": ["Ga", "Ga", "Ga", "Ga", "Ag", "Ag", "Ag", "Ag", "Pb", "Pb"], "fractional_positions": [[0.170, 0.330, 0.000], [0.330, 0.830, 0.000], [0.670, 0.170, 0.000], [0.830, 0.670, 0.000], [0.127, 0.627, 0.500], [0.373, 0.127, 0.500], [0.627, 0.873, 0.500], [0.873, 0.373, 0.500], [0.000, 0.000, 0.500], [0.500, 0.500, 0.500]]}

Copy entry 5 word for word.
{"formula": "Y2GaRu2", "functional": "meta-GGA SCAN", "state": "single point on PBEsol structure", "e_tot_ev_per_fu": -144.31, "delta_e_f_ev_per_atom": -0.525, "total_magnetization_mub_per_cell": 0.00, "sg": "No. 127", "lattice_angstrom": [[6.712, 0.000, 0.000], [0.000, 6.712, 0.000], [0.000, 0.000, 4.233]], "species": ["Y", "Y", "Y", "Y", "Ga", "Ga", "Ru", "Ru", "Ru", "Ru"], "fractional_positions": [[0.176, 0.324, 0.000], [0.324, 0.824, 0.000], [0.676, 0.176, 0.000], [0.824, 0.676, 0.000], [0.000, 0.000, 0.500], [0.500, 0.500, 0.500], [0.136, 0.636, 0.500], [0.364, 0.136, 0.500], [0.636, 0.864, 0.500], [0.864, 0.364, 0.500]]}